A relaxed NaTbPb3 crystal, computed with GGA-PBE.

a = 7.5165 Å, b = 7.5165 Å, c = 6.1639 Å
α = 90.00°, β = 90.00°, γ = 120.00°
Last column: nearest neighbours and their distance in Å.
Fractional coordinates of all 10 atoms:
Na 0.0000 0.0000 0.0000  6 Pb 3.00, 2 Na 3.08
Na 0.0000 0.0000 0.5000  6 Pb 3.00, 2 Na 3.08
Tb 0.3333 0.6667 0.2500  12 Pb 3.55-3.78
Tb 0.6667 0.3333 0.7500  12 Pb 3.55-3.78
Pb 0.1977 0.3955 0.7500  2 Na 3.00, 2 Pb 3.06
Pb 0.1977 0.8023 0.7500  2 Na 3.00, 2 Pb 3.06
Pb 0.3955 0.1977 0.2500  2 Na 3.00, 2 Pb 3.06
Pb 0.6045 0.8023 0.7500  2 Na 3.00, 2 Pb 3.06
Pb 0.8023 0.1977 0.2500  2 Na 3.00, 2 Pb 3.06
Pb 0.8023 0.6045 0.2500  2 Na 3.00, 2 Pb 3.06

SG: P6_3/mmc, No. 194
excess energy over the best structure of this formula in the dataset: 198.4 meV/atom
energy of formation from the pure elements: -0.02 eV per atom



A relaxed NaTbPb3 crystal, computed with GGA-PBE.

a = 6.4966 Å, b = 14.1448 Å, c = 6.4075 Å
α = 90.00°, β = 90.18°, γ = 90.00°
Last column: nearest neighbours and their distance in Å.
Fractional coordinates of all 20 atoms:
Na 0.0000 0.1019 0.2500  2 Na 3.25, 6 Pb 3.37-3.46
Na 0.0000 0.8981 0.7500  2 Na 3.25, 6 Pb 3.37-3.46
Na 0.5000 0.1019 0.2500  2 Na 3.25, 6 Pb 3.37-3.46
Na 0.5000 0.8981 0.7500  2 Na 3.25, 6 Pb 3.37-3.46
Tb 0.2504 0.3163 0.5027  9 Pb 3.17-3.52
Tb 0.2504 0.6837 0.0027  9 Pb 3.17-3.52
Tb 0.7496 0.3163 0.9973  9 Pb 3.17-3.52
Tb 0.7496 0.6837 0.4973  9 Pb 3.17-3.52
Pb 0.0000 0.4952 0.7500  4 Pb 3.21-3.25, 4 Tb 3.40-3.52
Pb 0.0000 0.5048 0.2500  4 Pb 3.21-3.25, 4 Tb 3.40-3.52
Pb 0.2499 0.1058 0.7112  3 Pb 3.22-3.29, 1 Tb 3.26, 4 Na 3.37-3.38
Pb 0.2497 0.2888 0.0111  4 Tb 3.17-3.28, 1 Pb 3.22, 2 Na 3.46
Pb 0.2497 0.7112 0.5111  4 Tb 3.17-3.28, 1 Pb 3.22, 2 Na 3.46
Pb 0.2499 0.8942 0.2112  3 Pb 3.22-3.29, 1 Tb 3.26, 4 Na 3.37-3.38
Pb 0.5000 0.4956 0.7500  4 Pb 3.21-3.25, 4 Tb 3.40-3.51
Pb 0.5000 0.5044 0.2500  4 Pb 3.21-3.25, 4 Tb 3.40-3.51
Pb 0.7501 0.1058 0.7888  3 Pb 3.22-3.29, 1 Tb 3.26, 4 Na 3.37-3.38
Pb 0.7503 0.2888 0.4889  4 Tb 3.17-3.28, 1 Pb 3.22, 2 Na 3.46
Pb 0.7503 0.7112 0.9889  4 Tb 3.17-3.28, 1 Pb 3.22, 2 Na 3.46
Pb 0.7501 0.8942 0.2888  3 Pb 3.22-3.29, 1 Tb 3.26, 4 Na 3.37-3.38

SG: P2/c, No. 13
excess energy over the best structure of this formula in the dataset: 0.0 meV/atom
energy of formation from the pure elements: -0.22 eV per atom



A relaxed Na5TbPb6 crystal, computed with GGA-PBE.

a = 4.8790 Å, b = 9.6326 Å, c = 7.6746 Å
α = 90.00°, β = 108.19°, γ = 90.00°
Last column: nearest neighbours and their distance in Å.
Fractional coordinates of all 12 atoms:
Na 0.0000 0.0000 0.0000  8 Pb 3.41-3.51, 4 Na 3.44-3.46
Na 0.3242 0.5000 0.6495  2 Na 3.27-3.28, 8 Pb 3.34-3.44, 2 Tb 3.52-3.55
Na 0.3329 0.0000 0.6652  4 Na 3.42-3.46, 8 Pb 3.44-3.51
Na 0.6671 0.0000 0.3348  4 Na 3.42-3.46, 8 Pb 3.44-3.51
Na 0.6758 0.5000 0.3505  2 Na 3.27-3.28, 8 Pb 3.34-3.44, 2 Tb 3.52-3.55
Tb 0.0000 0.5000 0.0000  8 Pb 3.35-3.39, 4 Na 3.52-3.55
Pb 0.1659 0.2521 0.3292  7 Na 3.34-3.45, 1 Tb 3.39, 4 Pb 3.41-3.49
Pb 0.1659 0.7479 0.3292  7 Na 3.34-3.45, 1 Tb 3.39, 4 Pb 3.41-3.49
Pb 0.5000 0.2613 0.0000  2 Tb 3.35, 4 Pb 3.41-3.44, 6 Na 3.44-3.51
Pb 0.5000 0.7387 0.0000  2 Tb 3.35, 4 Pb 3.41-3.44, 6 Na 3.44-3.51
Pb 0.8341 0.2521 0.6708  7 Na 3.34-3.45, 1 Tb 3.39, 4 Pb 3.41-3.49
Pb 0.8341 0.7479 0.6708  7 Na 3.34-3.45, 1 Tb 3.39, 4 Pb 3.41-3.49

SG: P2/m, No. 10
energy of formation from the pure elements: -0.18 eV per atom



A relaxed NaTbPb6 crystal, computed with GGA-PBE.

a = 4.8472 Å, b = 4.8472 Å, c = 9.9989 Å
α = 90.00°, β = 90.00°, γ = 90.00°
Last column: nearest neighbours and their distance in Å.
Fractional coordinates of all 8 atoms:
Na 0.0000 0.0000 0.0000  12 Pb 3.43-3.48
Tb 0.0000 0.0000 0.5000  12 Pb 3.43-3.49
Pb 0.0000 0.5000 0.2491  8 Pb 3.43-3.49, 2 Na 3.48, 2 Tb 3.49
Pb 0.0000 0.5000 0.7509  8 Pb 3.43-3.49, 2 Na 3.48, 2 Tb 3.49
Pb 0.5000 0.0000 0.2491  8 Pb 3.43-3.49, 2 Na 3.48, 2 Tb 3.49
Pb 0.5000 0.0000 0.7509  8 Pb 3.43-3.49, 2 Na 3.48, 2 Tb 3.49
Pb 0.5000 0.5000 0.0000  4 Na 3.43, 8 Pb 3.48
Pb 0.5000 0.5000 0.5000  4 Tb 3.43, 8 Pb 3.49

SG: P4/mmm, No. 123
energy of formation from the pure elements: -0.21 eV per atom



A relaxed Na2TbPb3 crystal, computed with GGA-PBE.

a = 8.6676 Å, b = 8.6676 Å, c = 7.6949 Å
α = 90.00°, β = 90.00°, γ = 143.55°
Last column: nearest neighbours and their distance in Å.
Fractional coordinates of all 12 atoms:
Na 0.0000 0.0000 0.0000  8 Pb 3.30-3.40
Na 0.0000 0.0000 0.5000  8 Pb 3.34-3.35
Na 0.3336 0.6664 0.0000  8 Pb 3.33-3.37
Na 0.6664 0.3336 0.0000  8 Pb 3.33-3.37
Tb 0.3421 0.6579 0.5000  8 Pb 3.25-3.42
Tb 0.6579 0.3421 0.5000  8 Pb 3.25-3.42
Pb 0.1676 0.8320 0.2572  3 Tb 3.30-3.42, 5 Na 3.34-3.40
Pb 0.1680 0.8324 0.7428  3 Tb 3.30-3.42, 5 Na 3.34-3.40
Pb 0.4990 0.4990 0.2454  2 Tb 3.25, 6 Na 3.30-3.35
Pb 0.5010 0.5010 0.7546  2 Tb 3.25, 6 Na 3.30-3.35
Pb 0.8320 0.1676 0.2572  3 Tb 3.30-3.42, 5 Na 3.34-3.40
Pb 0.8324 0.1680 0.7428  3 Tb 3.30-3.42, 5 Na 3.34-3.40

SG: C2/m, No. 12
energy of formation from the pure elements: -0.25 eV per atom



A relaxed NaTb2Pb8 crystal, computed with GGA-PBE.

a = 4.7327 Å, b = 4.7327 Å, c = 15.2364 Å
α = 90.00°, β = 90.00°, γ = 90.00°
Last column: nearest neighbours and their distance in Å.
Fractional coordinates of all 11 atoms:
Na 0.0000 0.0000 0.0000  8 Pb 3.45
Tb 0.0000 0.0000 0.3434  12 Pb 3.36-3.61
Tb 0.0000 0.0000 0.6566  12 Pb 3.36-3.61
Pb 0.0000 0.5000 0.1644  6 Pb 3.35-3.39, 2 Na 3.45, 2 Tb 3.61
Pb 0.0000 0.5000 0.5000  8 Pb 3.35-3.58, 4 Tb 3.36
Pb 0.0000 0.5000 0.8356  6 Pb 3.35-3.39, 2 Na 3.45, 2 Tb 3.61
Pb 0.5000 0.0000 0.1644  6 Pb 3.35-3.39, 2 Na 3.45, 2 Tb 3.61
Pb 0.5000 0.0000 0.5000  8 Pb 3.35-3.58, 4 Tb 3.36
Pb 0.5000 0.0000 0.8356  6 Pb 3.35-3.39, 2 Na 3.45, 2 Tb 3.61
Pb 0.5000 0.5000 0.3235  4 Tb 3.36, 8 Pb 3.39-3.58
Pb 0.5000 0.5000 0.6765  4 Tb 3.36, 8 Pb 3.39-3.58

SG: P4/mmm, No. 123
energy of formation from the pure elements: -0.23 eV per atom



A relaxed NaTb2Te4Pb crystal, computed with GGA-PBE.

a = 7.6587 Å, b = 4.4215 Å, c = 8.0335 Å
α = 90.00°, β = 108.28°, γ = 90.00°
Last column: nearest neighbours and their distance in Å.
Fractional coordinates of all 8 atoms:
Na 0.0000 0.0000 0.0000  6 Te 3.22-3.25
Tb 0.0000 0.5000 0.5000  6 Te 3.11-3.12
Tb 0.5000 0.0000 0.5000  6 Te 3.13-3.14
Te 0.2433 0.0000 0.7372  3 Tb 3.12-3.14, 1 Na 3.22, 2 Pb 3.26
Te 0.2543 0.5000 0.2642  3 Tb 3.11-3.13, 1 Pb 3.25, 2 Na 3.25
Te 0.7457 0.5000 0.7358  3 Tb 3.11-3.13, 1 Pb 3.25, 2 Na 3.25
Te 0.7567 0.0000 0.2628  3 Tb 3.12-3.14, 1 Na 3.22, 2 Pb 3.26
Pb 0.5000 0.5000 0.0000  6 Te 3.25-3.26

SG: P2/m, No. 10
formation energy (no corrections): -1.05 eV/atom



A relaxed NaTbTlPb crystal, computed with GGA-PBE.

a = 7.6420 Å, b = 7.6420 Å, c = 7.6420 Å
α = 90.00°, β = 90.00°, γ = 90.00°
Last column: nearest neighbours and their distance in Å.
Fractional coordinates of all 16 atoms:
Na 0.0000 0.0000 0.0000  4 Tl 3.31, 4 Pb 3.31
Na 0.0000 0.5000 0.5000  4 Tl 3.31, 4 Pb 3.31
Na 0.5000 0.0000 0.5000  4 Tl 3.31, 4 Pb 3.31
Na 0.5000 0.5000 0.0000  4 Tl 3.31, 4 Pb 3.31
Tb 0.0000 0.0000 0.5000  4 Pb 3.31, 4 Tl 3.31
Tb 0.0000 0.5000 0.0000  4 Pb 3.31, 4 Tl 3.31
Tb 0.5000 0.0000 0.0000  4 Pb 3.31, 4 Tl 3.31
Tb 0.5000 0.5000 0.5000  4 Pb 3.31, 4 Tl 3.31
Tl 0.2500 0.2500 0.2500  4 Tb 3.31, 4 Na 3.31
Tl 0.2500 0.7500 0.7500  4 Tb 3.31, 4 Na 3.31
Tl 0.7500 0.2500 0.7500  4 Tb 3.31, 4 Na 3.31
Tl 0.7500 0.7500 0.2500  4 Tb 3.31, 4 Na 3.31
Pb 0.2500 0.2500 0.7500  4 Na 3.31, 4 Tb 3.31
Pb 0.2500 0.7500 0.2500  4 Na 3.31, 4 Tb 3.31
Pb 0.7500 0.2500 0.2500  4 Na 3.31, 4 Tb 3.31
Pb 0.7500 0.7500 0.7500  4 Na 3.31, 4 Tb 3.31

SG: F-43m, No. 216
excess energy over the best structure of this formula in the dataset: 39.1 meV/atom
energy of formation from the pure elements: -0.25 eV per atom



A relaxed NaTbTlPb crystal, computed with GGA-PBE.

a = 4.2744 Å, b = 4.9582 Å, c = 5.2082 Å
α = 90.00°, β = 90.00°, γ = 90.00°
Last column: nearest neighbours and their distance in Å.
Fractional coordinates of all 4 atoms:
Na 0.0000 0.0000 0.0000  4 Tl 3.27, 4 Pb 3.37, 4 Tb 3.60
Tb 0.0000 0.5000 0.5000  4 Pb 3.27, 4 Tl 3.37, 4 Na 3.60
Tl 0.5000 0.5000 0.0000  4 Na 3.27, 4 Tb 3.37, 4 Pb 3.60
Pb 0.5000 0.0000 0.5000  4 Tb 3.27, 4 Na 3.37, 4 Tl 3.60

SG: Pmmm, No. 47
excess energy over the best structure of this formula in the dataset: 0.0 meV/atom
energy of formation from the pure elements: -0.29 eV per atom



A relaxed NaTc2Pb crystal, computed with GGA-PBE.

a = 7.9266 Å, b = 7.9266 Å, c = 5.2235 Å
α = 90.00°, β = 90.00°, γ = 90.00°
Last column: nearest neighbours and their distance in Å.
Fractional coordinates of all 16 atoms:
Na 0.0000 0.0000 0.0000  2 Pb 2.61
Na 0.0000 0.5000 0.2500  2 Pb 2.61
Na 0.5000 0.0000 0.7500  2 Pb 2.61
Na 0.5000 0.5000 0.5000  2 Pb 2.61
Tc 0.2215 0.2500 0.6250  2 Tc 2.65, 2 Pb 2.73
Tc 0.2500 0.7215 0.8750  2 Tc 2.65, 2 Pb 2.73
Tc 0.2500 0.7785 0.3750  2 Tc 2.65, 2 Pb 2.73
Tc 0.2785 0.2500 0.1250  2 Tc 2.65, 2 Pb 2.73
Tc 0.7215 0.7500 0.1250  2 Tc 2.65, 2 Pb 2.73
Tc 0.7500 0.2215 0.3750  2 Tc 2.65, 2 Pb 2.73
Tc 0.7500 0.2785 0.8750  2 Tc 2.65, 2 Pb 2.73
Tc 0.7785 0.7500 0.6250  2 Tc 2.65, 2 Pb 2.73
Pb 0.0000 0.0000 0.5000  2 Na 2.61, 4 Tc 2.73
Pb 0.0000 0.5000 0.7500  2 Na 2.61, 4 Tc 2.73
Pb 0.5000 0.0000 0.2500  2 Na 2.61, 4 Tc 2.73
Pb 0.5000 0.5000 0.0000  2 Na 2.61, 4 Tc 2.73

SG: I-42d, No. 122
energy of formation from the pure elements: 1.25 eV per atom